# 1
Entry from Alexandria via LeMat-Bulk: KZrSc3 after structural relaxation (PBEsol).

Properties
The calculation puts the spin magnetization at 0.17 μB per formula unit. Its energy of formation from the pure elements is 1.241 eV/atom. The symmetry is Pm-3m, No. 221.

Unit cell a=4.853 b=4.853 c=4.853 alpha=90.00 beta=90.00 gamma=90.00
Fractional coordinates of all 5 atoms:
Sc1 0.000 0.500 0.000
Sc2 0.000 0.000 0.500
Sc3 0.500 0.000 0.000
K1 0.000 0.000 0.000
Zr1 0.500 0.500 0.500

***

# 2
Entry from Alexandria via LeMat-Bulk: K2ZrSc after structural relaxation (PBEsol).

Properties
The calculation puts the spin magnetization at 0.00 μB per formula unit. Its energy of formation from the pure elements is 0.806 eV/atom. As for the distance to the lowest polymorph of the same formula: 0 meV/atom. The symmetry is R-3m, No. 166.

Unit cell a=3.256 b=3.256 c=13.740 alpha=83.20 beta=83.20 gamma=60.00
Fractional coordinates of all 4 atoms:
K1 0.251 0.251 0.248
K2 0.749 0.749 0.752
Sc1 0.500 0.500 0.500
Zr1 0.000 0.000 0.000

***

# 3
Entry from Alexandria via LeMat-Bulk: KSe2 after structural relaxation (PBEsol).

Properties
The calculation puts the spin magnetization at 0.00 μB per formula unit. The value obtained for the uncorrected formation energy is -14.74 kcal/mol of atoms. As for the distance to the lowest polymorph of the same formula: 0 meV/atom. The symmetry is C2/m, No. 12.

Unit cell a=5.013 b=6.047 c=7.013 alpha=103.61 beta=90.00 gamma=114.49
Fractional coordinates of all 6 atoms:
K1 0.091 0.182 0.808
K2 0.909 0.818 0.192
Se1 0.392 0.783 0.847
Se2 0.717 0.435 0.501
Se3 0.283 0.565 0.499
Se4 0.608 0.217 0.153

***

# 4
Entry from Alexandria via LeMat-Bulk: KSe2 after structural relaxation (PBEsol).

Properties
The calculation puts the spin magnetization at 0.00 μB per formula unit. The value obtained for the uncorrected formation energy is -13.94 kcal/mol of atoms. As for the distance to the lowest polymorph of the same formula: 35 meV/atom. The symmetry is Cmcm, No. 63.

Unit cell a=4.680 b=6.390 c=6.537 alpha=90.00 beta=90.00 gamma=111.48
Fractional coordinates of all 6 atoms:
K1 0.137 0.273 0.250
K2 0.863 0.727 0.750
Se1 0.852 0.704 0.250
Se2 0.425 0.850 0.250
Se3 0.575 0.150 0.750
Se4 0.148 0.296 0.750

***

# 5
Entry from Alexandria via LeMat-Bulk: K2Se5 after structural relaxation (PBEsol).

Properties
The calculation puts the spin magnetization at 0.00 μB per formula unit. The value obtained for the uncorrected formation energy is -12.93 kcal/mol of atoms. The symmetry is P2_12_12_1, No. 19.

Unit cell a=6.465 b=6.963 c=17.365 alpha=90.00 beta=90.00 gamma=90.00
Fractional coordinates of all 28 atoms:
K1 0.411 0.241 0.840
K2 0.089 0.759 0.340
K3 0.589 0.741 0.660
K4 0.911 0.259 0.160
K5 0.620 0.915 0.007
K6 0.880 0.085 0.507
K7 0.380 0.415 0.493
K8 0.120 0.585 0.993
Se1 0.612 0.429 0.011
Se2 0.888 0.571 0.511
Se3 0.388 0.929 0.489
Se4 0.112 0.071 0.989
Se5 0.426 0.363 0.125
Se6 0.074 0.637 0.625
Se7 0.574 0.863 0.375
Se8 0.926 0.137 0.875
Se9 0.482 0.637 0.207
Se10 0.018 0.363 0.707
Se11 0.518 0.137 0.293
Se12 0.982 0.863 0.793
Se13 0.254 0.875 0.151
Se14 0.246 0.125 0.651
Se15 0.746 0.375 0.349
Se16 0.754 0.625 0.849
Se17 0.902 0.759 0.168
Se18 0.598 0.241 0.668
Se19 0.098 0.259 0.332
Se20 0.402 0.741 0.832

***

# 6
Entry from Alexandria via LeMat-Bulk: KSe2 after structural relaxation (PBEsol).

Properties
The calculation puts the spin magnetization at 0.00 μB per formula unit. The value obtained for the uncorrected formation energy is -2.09 kcal/mol of atoms. As for the distance to the lowest polymorph of the same formula: 549 meV/atom. The symmetry is P6_3/mmc, No. 194.

Unit cell a=5.286 b=5.286 c=6.120 alpha=90.00 beta=90.00 gamma=120.00
Fractional coordinates of all 6 atoms:
K1 0.667 0.333 0.750
K2 0.333 0.667 0.250
Se1 0.000 0.000 0.000
Se2 0.000 0.000 0.500
Se3 0.667 0.333 0.250
Se4 0.333 0.667 0.750

***

# 7
Entry from Alexandria via LeMat-Bulk: KSe2 after structural relaxation (PBEsol).

Properties
The calculation puts the spin magnetization at 0.00 μB per formula unit. The value obtained for the uncorrected formation energy is -13.25 kcal/mol of atoms. As for the distance to the lowest polymorph of the same formula: 64 meV/atom. The symmetry is Pnnm, No. 58.

Unit cell a=4.523 b=6.154 c=7.252 alpha=90.00 beta=90.00 gamma=90.00
Fractional coordinates of all 6 atoms:
K1 0.000 0.000 0.000
K2 0.500 0.500 0.500
Se1 0.248 0.000 0.571
Se2 0.752 0.000 0.429
Se3 0.748 0.500 0.929
Se4 0.252 0.500 0.071

***

# 8
Entry from Alexandria via LeMat-Bulk: KSe2 after structural relaxation (PBEsol).

Properties
The calculation puts the spin magnetization at 0.00 μB per formula unit. The value obtained for the uncorrected formation energy is -14.21 kcal/mol of atoms. As for the distance to the lowest polymorph of the same formula: 23 meV/atom. The symmetry is I4_1/amd, No. 141.

Unit cell a=4.489 b=4.489 c=9.538 alpha=103.61 beta=103.61 gamma=90.00
Fractional coordinates of all 6 atoms:
K1 0.250 0.750 0.500
K2 0.000 0.000 0.000
Se1 0.846 0.346 0.691
Se2 0.404 0.404 0.809
Se3 0.654 0.154 0.309
Se4 0.596 0.596 0.191